DFT (PBE-GGA) results for a geometry-optimized LiAg2F6 structure.

## Properties
The value obtained for the raw total energy is -3.587 eV/atom. The space-group type is P321, No. 150. As for the density of states at the Fermi level: 11.8 states/eV per cell. For the formation energy (no corrections), the calculation gives -1.493 eV per atom. The calculation puts the energy above the most stable polymorph in this dataset at 0 meV per atom.

Cell lengths 9.254, 9.254, 4.830 Å; angles 90.00, 90.00, 120.00 degrees
Fractional positions:
Ag 0.303 0.000 0.500
Ag 0.000 0.638 0.000
Ag 0.362 0.362 0.000
Ag 0.000 0.303 0.500
Ag 0.638 0.000 0.000
Ag 0.697 0.697 0.500
F 0.801 0.547 0.259
F 0.746 0.199 0.259
F 0.254 0.453 0.741
F 0.117 0.217 0.237
F 0.887 0.408 0.730
F 0.100 0.883 0.237
F 0.408 0.887 0.270
F 0.783 0.900 0.237
F 0.547 0.801 0.741
F 0.199 0.746 0.741
F 0.479 0.592 0.270
F 0.453 0.254 0.259
F 0.900 0.783 0.763
F 0.883 0.100 0.763
F 0.217 0.117 0.763
F 0.592 0.479 0.730
F 0.113 0.521 0.270
F 0.521 0.113 0.730
Li 0.333 0.667 0.513
Li 0.000 0.000 0.000
Li 0.667 0.333 0.487

---

DFT (PBE-GGA) results for a geometry-optimized LiAg3F9 structure.

## Properties
The value obtained for the raw total energy is -3.382 eV/atom. The space-group type is Cc, No. 9. As for the density of states at the Fermi level: 3.9 states/eV per cell. For the formation energy (no corrections), the calculation gives -1.281 eV per atom.

Cell lengths 5.089, 9.284, 10.239 Å; angles 99.55, 75.61, 74.09 degrees
Last column: magnetic moment on the atom in μB.
Fractional positions:
F 0.016 0.068 0.983  0.16
F 0.354 0.937 0.184  0.06
F 0.728 0.128 0.560  0.01
F 0.500 0.780 0.697  0.03
F 0.802 0.929 0.328  0.10
F 0.994 0.726 0.789  0.05
F 0.932 0.568 0.483  0.16
F 0.024 0.280 0.197  0.03
F 0.584 0.628 0.060  0.01
F 0.490 0.226 0.289  0.05
F 0.390 0.363 0.951  0.01
F 0.941 0.429 0.828  0.10
F 0.667 0.043 0.810  0.01
F 0.525 0.437 0.684  0.06
F 0.481 0.543 0.310  0.01
F 0.213 0.084 0.687  0.01
F 0.297 0.863 0.451  0.01
F 0.017 0.584 0.187  0.01
Ag 0.241 0.412 0.251  0.04
Ag 0.908 0.048 0.182  0.42
Ag 0.431 0.746 0.254  0.02
Ag 0.568 0.246 0.754  0.02
Ag 0.862 0.548 0.682  0.42
Ag 0.097 0.912 0.751  0.04
Li 0.517 0.994 0.503  0.00
Li 0.986 0.494 0.003  0.00

---

DFT (PBE-GGA) results for a geometry-optimized Li2Ag2F5 structure.

## Properties
The value obtained for the raw total energy is -3.966 eV/atom. The space-group type is C2/m, No. 12. As for the density of states at the Fermi level: 5.3 states/eV per cell. For the formation energy (no corrections), the calculation gives -1.868 eV per atom.

Cell lengths 3.598, 6.490, 6.118 Å; angles 117.32, 90.00, 106.09 degrees
Fractional positions:
F 0.347 0.694 0.076
F 0.653 0.306 0.924
F 0.849 0.699 0.481
F 0.151 0.301 0.519
F 0.000 0.000 0.000
Ag 0.407 0.814 0.727
Ag 0.593 0.186 0.273
Li 0.830 0.659 0.152
Li 0.170 0.341 0.848

---

DFT (PBE-GGA) results for a geometry-optimized Li3Ag4F8 structure.

## Properties
The value obtained for the raw total energy is -3.899 eV/atom. The space-group type is R-3m, No. 166. As for the density of states at the Fermi level: 5.4 states/eV per cell. For the formation energy (no corrections), the calculation gives -1.758 eV per atom.

Cell lengths 6.166, 6.166, 6.965 Å; angles 63.71, 63.71, 60.00 degrees
Last column: magnetic moment on the atom in μB.
Fractional positions:
Ag 0.334 0.334 0.998  0.00
Ag 0.666 0.666 0.002  0.00
Ag 0.500 0.500 0.500  0.12
Ag 0.000 0.000 0.000  0.09
F 0.776 0.250 0.723  0.02
F 0.250 0.250 0.723  0.02
F 0.250 0.776 0.723  0.02
F 0.750 0.750 0.277  0.02
F 0.224 0.750 0.277  0.02
F 0.787 0.787 0.639  0.00
F 0.213 0.213 0.361  0.00
F 0.750 0.224 0.277  0.02
Li 0.000 0.500 0.500  0.00
Li 0.500 0.000 0.500  0.00
Li 0.000 0.000 0.500  0.00

---

DFT (PBE-GGA) results for a geometry-optimized Li4Ag3F12 structure.

## Properties
The value obtained for the raw total energy is -3.909 eV/atom. The space-group type is Im-3, No. 204. As for the density of states at the Fermi level: 8.6 states/eV per cell. For the formation energy (no corrections), the calculation gives -1.874 eV per atom.

Cell lengths 6.748, 6.748, 6.748 Å; angles 109.47, 109.47, 109.47 degrees
Last column: magnetic moment on the atom in μB.
Fractional positions:
F 0.500 0.816 0.683  0.04
F 0.317 0.133 0.816  0.04
F 0.133 0.816 0.317  0.04
F 0.184 0.317 0.500  0.04
F 0.317 0.500 0.184  0.04
F 0.683 0.500 0.816  0.04
F 0.816 0.683 0.500  0.04
F 0.500 0.184 0.317  0.04
F 0.867 0.184 0.683  0.04
F 0.683 0.867 0.184  0.04
F 0.184 0.683 0.867  0.04
F 0.816 0.317 0.133  0.04
Li 0.500 0.500 0.500  0.00
Li 0.000 0.000 0.500  0.00
Li 0.000 0.500 0.000  0.00
Li 0.500 0.000 0.000  0.00
Ag 0.000 0.500 0.500  0.18
Ag 0.500 0.500 0.000  0.18
Ag 0.500 0.000 0.500  0.18

---

DFT (PBE-GGA) results for a geometry-optimized LiAgF6 structure.

## Properties
The value obtained for the raw total energy is -3.189 eV/atom. The space-group type is Ia-3, No. 206. For the formation energy (no corrections), the calculation gives -1.190 eV per atom. The calculation puts the energy above the most stable polymorph in this dataset at 68 meV per atom.

Cell lengths 8.026, 8.026, 8.026 Å; angles 109.47, 109.47, 109.47 degrees
Fractional positions:
Ag 0.000 0.000 0.500
Ag 0.500 0.000 0.000
Ag 0.000 0.500 0.000
Ag 0.500 0.500 0.500
F 0.445 0.410 0.220
F 0.555 0.590 0.780
F 0.410 0.220 0.445
F 0.780 0.555 0.590
F 0.090 0.536 0.810
F 0.775 0.720 0.310
F 0.220 0.445 0.410
F 0.964 0.055 0.275
F 0.464 0.190 0.910
F 0.055 0.275 0.964
F 0.275 0.964 0.055
F 0.036 0.945 0.725
F 0.280 0.690 0.225
F 0.945 0.725 0.036
F 0.725 0.036 0.945
F 0.310 0.775 0.720
F 0.190 0.910 0.464
F 0.690 0.225 0.280
F 0.536 0.810 0.090
F 0.810 0.090 0.536
F 0.910 0.464 0.190
F 0.590 0.780 0.555
F 0.720 0.310 0.775
F 0.225 0.280 0.690
Li 0.500 0.500 0.000
Li 0.500 0.000 0.500
Li 0.000 0.000 0.000
Li 0.000 0.500 0.500

---

> Which of these has the highest formation energy (no corrections)?

LiAgF6

---

What did the fifth record say?
DFT (PBE-GGA) results for a geometry-optimized Li4Ag3F12 structure.

## Properties
The value obtained for the raw total energy is -3.909 eV/atom. The space-group type is Im-3, No. 204. As for the density of states at the Fermi level: 8.6 states/eV per cell. For the formation energy (no corrections), the calculation gives -1.874 eV per atom.

Cell lengths 6.748, 6.748, 6.748 Å; angles 109.47, 109.47, 109.47 degrees
Last column: magnetic moment on the atom in μB.
Fractional positions:
F 0.500 0.816 0.683  0.04
F 0.317 0.133 0.816  0.04
F 0.133 0.816 0.317  0.04
F 0.184 0.317 0.500  0.04
F 0.317 0.500 0.184  0.04
F 0.683 0.500 0.816  0.04
F 0.816 0.683 0.500  0.04
F 0.500 0.184 0.317  0.04
F 0.867 0.184 0.683  0.04
F 0.683 0.867 0.184  0.04
F 0.184 0.683 0.867  0.04
F 0.816 0.317 0.133  0.04
Li 0.500 0.500 0.500  0.00
Li 0.000 0.000 0.500  0.00
Li 0.000 0.500 0.000  0.00
Li 0.500 0.000 0.000  0.00
Ag 0.000 0.500 0.500  0.18
Ag 0.500 0.500 0.000  0.18
Ag 0.500 0.000 0.500  0.18

---

> What is the raw total energy in the second record?

-3.382 eV/atom